No. 1
Below is a relaxed structure of CoSn3Hg, with properties calculated at the PBE level.

a = 4.980 Å, b = 4.980 Å, c = 4.980 Å
α = 90.00°, β = 90.00°, γ = 90.00°
Positions (direct):
Co (0.000, 0.000, 0.000)
Sn (0.000, 0.000, 0.500)
Sn (0.000, 0.500, 0.000)
Sn (0.500, 0.000, 0.000)
Hg (0.500, 0.500, 0.500)

Values from the calculation:
Calculated formation energy = 0.0664 eV/atom
E above lowest polymorph = 0.0 kJ per mole of atoms
Size of the total moment = 0.1 μB/f.u.

---

No. 2
Below is a relaxed structure of CoSnHg3, with properties calculated at the PBE level.

a = 5.017 Å, b = 5.017 Å, c = 5.017 Å
α = 90.00°, β = 90.00°, γ = 90.00°
Positions (direct):
Co (0.000, 0.000, 0.000)
Sn (0.500, 0.500, 0.500)
Hg (0.000, 0.000, 0.500)
Hg (0.000, 0.500, 0.000)
Hg (0.500, 0.000, 0.000)

Values from the calculation:
Calculated formation energy = 0.4145 eV/atom
Size of the total moment = 1.1 μB/f.u.

---

No. 3
Below is a relaxed structure of Co2SnHg, with properties calculated at the PBE level.

a = 6.270 Å, b = 6.270 Å, c = 6.270 Å
α = 90.00°, β = 90.00°, γ = 90.00°
Positions (direct):
Co (0.250, 0.250, 0.250)
Co (0.250, 0.250, 0.750)
Co (0.250, 0.750, 0.250)
Co (0.250, 0.750, 0.750)
Co (0.750, 0.250, 0.250)
Co (0.750, 0.250, 0.750)
Co (0.750, 0.750, 0.250)
Co (0.750, 0.750, 0.750)
Sn (0.000, 0.000, 0.000)
Sn (0.000, 0.500, 0.500)
Sn (0.500, 0.000, 0.500)
Sn (0.500, 0.500, 0.000)
Hg (0.000, 0.000, 0.500)
Hg (0.000, 0.500, 0.000)
Hg (0.500, 0.000, 0.000)
Hg (0.500, 0.500, 0.500)

Values from the calculation:
Calculated formation energy = 0.2897 eV/atom
E above lowest polymorph = 0.0 kJ per mole of atoms
Size of the total moment = 0.9 μB/f.u.

---

No. 4
Below is a relaxed structure of Co2SnHg, with properties calculated at the PBE level.

a = 7.061 Å, b = 7.061 Å, c = 5.608 Å
α = 90.00°, β = 90.00°, γ = 90.00°
Positions (direct):
Co (0.240, 0.250, 0.125)
Co (0.250, 0.740, 0.375)
Co (0.250, 0.760, 0.875)
Co (0.260, 0.250, 0.625)
Co (0.740, 0.750, 0.625)
Co (0.750, 0.240, 0.875)
Co (0.750, 0.260, 0.375)
Co (0.760, 0.750, 0.125)
Sn (0.000, 0.000, 0.000)
Sn (0.000, 0.500, 0.250)
Sn (0.500, 0.000, 0.750)
Sn (0.500, 0.500, 0.500)
Hg (0.000, 0.000, 0.500)
Hg (0.000, 0.500, 0.750)
Hg (0.500, 0.000, 0.250)
Hg (0.500, 0.500, 0.000)

Values from the calculation:
Calculated formation energy = 0.6149 eV/atom
E above lowest polymorph = 31.4 kJ per mole of atoms
Size of the total moment = 1.9 μB/f.u.

---

| no. | V (A^3/atom) |
| --- | --- |
| 1 | 24.7 |
| 2 | 25.2 |
| 3 | 15.4 |
| 4 | 17.5 |